Record 1
Li6Nd6SbTe3O24 | GGA-PBEsol | optimized geometry

Results
E	-6.92	eV/atom
symmetry	C2/c
ΔE_f (raw)	-8979	kJ/mol of formula units
V	12.4	Å³/atom
M_tot	0.75	μB/f.u.

```
Li6Nd6SbTe3O24
1.0
8.870 -6.285 0.000
8.870 6.285 0.000
-8.865 0.000 8.902
Li Nd Sb Te O
12 12 2 6 48
direct
0.124 0.876 0.750
0.126 0.625 0.876
0.250 0.252 0.626
0.252 0.250 0.126
0.375 0.625 0.250
0.375 0.874 0.624
0.625 0.126 0.376
0.625 0.375 0.750
0.748 0.750 0.874
0.750 0.748 0.374
0.874 0.375 0.124
0.876 0.124 0.250
0.124 0.876 0.250
0.125 0.627 0.375
0.249 0.250 0.874
0.250 0.249 0.374
0.373 0.875 0.125
0.375 0.625 0.750
0.625 0.375 0.250
0.627 0.125 0.875
0.750 0.751 0.626
0.751 0.750 0.126
0.875 0.373 0.625
0.876 0.124 0.750
0.000 0.000 0.000
0.000 0.000 0.500
0.000 0.500 0.000
0.000 0.500 0.500
0.500 0.000 0.000
0.500 0.000 0.500
0.500 0.500 0.000
0.500 0.500 0.500
0.023 0.422 0.329
0.029 0.081 0.202
0.078 0.476 0.883
0.081 0.029 0.702
0.093 0.202 0.621
0.094 0.307 0.978
0.117 0.671 0.593
0.121 0.826 0.027
0.171 0.616 0.193
0.174 0.879 0.473
0.195 0.407 0.578
0.202 0.093 0.121
0.306 0.407 0.329
0.307 0.094 0.478
0.329 0.616 0.922
0.329 0.883 0.907
0.384 0.671 0.578
0.384 0.829 0.307
0.407 0.195 0.078
0.407 0.306 0.829
0.422 0.023 0.829
0.422 0.477 0.094
0.476 0.078 0.383
0.477 0.422 0.594
0.523 0.578 0.406
0.524 0.922 0.617
0.578 0.523 0.906
0.578 0.977 0.171
0.593 0.694 0.171
0.593 0.805 0.922
0.616 0.171 0.693
0.616 0.329 0.422
0.671 0.117 0.093
0.671 0.384 0.078
0.693 0.906 0.522
0.694 0.593 0.671
0.798 0.907 0.879
0.805 0.593 0.422
0.826 0.121 0.527
0.829 0.384 0.807
0.879 0.174 0.973
0.883 0.329 0.407
0.906 0.693 0.022
0.907 0.798 0.379
0.919 0.971 0.298
0.922 0.524 0.117
0.971 0.919 0.798
0.977 0.578 0.671
```

***

Record 2
CaCeMg14 | GGA-PBEsol | optimized geometry

Results
calculated formation energy	0.060	eV/atom
E	-1.99	eV/atom
symmetry	Amm2
V	24.3	Å³/atom
M_tot	1.21	μB/f.u.

```
CaCeMg14
1.0
10.441 0.000 0.000
0.000 3.307 5.631
0.000 -3.307 5.631
Ca Ce Mg
1 1 14
direct
0.000 0.000 0.000
0.000 0.510 0.510
0.000 0.012 0.490
0.000 0.490 0.012
0.250 0.818 0.818
0.251 0.327 0.327
0.263 0.325 0.825
0.263 0.825 0.325
0.500 0.491 0.491
0.500 0.491 0.996
0.500 0.988 0.988
0.500 0.996 0.491
0.737 0.325 0.825
0.737 0.825 0.325
0.749 0.327 0.327
0.750 0.818 0.818
```

***

Record 3
KLiCd | GGA-PBEsol | optimized geometry

Results
calculated formation energy	0.201	eV/atom
E	-1.23	eV/atom
symmetry	F-43m
V	34.0	Å³/atom
polymorph energy (0 for the lowest one)	0.202	eV/atom
M_tot	0.00	μB/f.u.

```
KLiCd
1.0
0.000 3.709 3.709
3.709 0.000 3.709
3.709 3.709 0.000
K Li Cd
1 1 1
direct
0.000 0.000 0.000
0.750 0.750 0.750
0.500 0.500 0.500
```

***

Record 4
CdIn3Os | GGA-PBEsol | optimized geometry

Results
calculated formation energy	1.607	eV/atom
E	-2.87	eV/atom
symmetry	Pm-3m
V	28.1	Å³/atom
M_tot	2.35	μB/f.u.

```
CdIn3Os
1.0
5.196 0.000 0.000
0.000 5.196 0.000
0.000 0.000 5.196
Cd In Os
1 3 1
direct
0.000 0.000 0.000
0.000 0.000 0.500
0.000 0.500 0.000
0.500 0.000 0.000
0.500 0.500 0.500
```

***

Record 5
YAsOs2 | GGA-PBEsol | optimized geometry

Results
calculated formation energy	0.447	eV/atom
E	-8.64	eV/atom
symmetry	R-3m
V	17.0	Å³/atom
M_tot	0.00	μB/f.u.

```
YAsOs2
1.0
1.537 0.888 8.307
-1.537 0.888 8.307
0.000 -1.775 8.307
Y As Os
1 1 2
direct
0.000 0.000 0.000
0.500 0.500 0.500
0.240 0.240 0.240
0.760 0.760 0.760
```

***

Record 6
LiMo2As | GGA-PBEsol | optimized geometry

Results
calculated formation energy	0.156	eV/atom
E	-7.50	eV/atom
symmetry	R3m
V	16.0	Å³/atom
M_tot	0.00	μB/f.u.

```
LiMo2As
1.0
1.461 0.844 8.669
-1.461 0.844 8.669
0.000 -1.687 8.669
Li Mo As
1 2 1
direct
0.000 0.000 0.000
0.507 0.507 0.507
0.760 0.760 0.760
0.248 0.248 0.248
```

***

Record 7
CaScPt | GGA-PBEsol | optimized geometry

Results
calculated formation energy	-0.125	eV/atom
E	-5.36	eV/atom
symmetry	F-43m
V	22.3	Å³/atom
M_tot	0.00	μB/f.u.

```
CaScPt
1.0
0.000 3.224 3.224
3.224 0.000 3.224
3.224 3.224 0.000
Ca Sc Pt
1 1 1
direct
0.000 0.000 0.000
0.250 0.250 0.250
0.500 0.500 0.500
```

***

Record 8
Co2Tc | GGA-PBEsol | optimized geometry

Results
calculated formation energy	0.012	eV/atom
E	-8.90	eV/atom
symmetry	Immm
V	11.2	Å³/atom
polymorph energy (0 for the lowest one)	0.066	eV/atom
M_tot	0.01	μB/f.u.

```
Co2Tc
1.0
-1.266 1.774 3.746
1.266 -1.774 3.746
1.266 1.774 -3.746
Co Tc
2 1
direct
0.168 0.168 0.000
0.832 0.832 0.000
0.500 0.500 0.000
```